DFT (GGA-PBE) results for a relaxed InPd crystal.

Values from the calculation:
E_form = -0.33 eV/atom
Magnetization = 0.0 μB/f.u.
Raw total energy = -51.52 eV/cell
Theoretical density = 8.72 g/cm3

a b c (Å): 7.5132 7.5132 5.1735
angles (deg): 90.00 90.00 120.00
Fractional coordinates of all 12 atoms:
In 0.0941 0.7576 0.2500
In 0.2424 0.3365 0.2500
In 0.3365 0.0941 0.7500
In 0.6635 0.9059 0.2500
In 0.7576 0.6635 0.7500
In 0.9059 0.2424 0.7500
Pd 0.1129 0.6617 0.7500
Pd 0.3383 0.4512 0.7500
Pd 0.4512 0.1129 0.2500
Pd 0.5488 0.8871 0.7500
Pd 0.6617 0.5488 0.2500
Pd 0.8871 0.3383 0.2500